No. 1
## Na2AsO4 (PBE-GGA)

Data for a relaxed Na2AsO4 crystal.

Density in g/cm³: 2.08
Magnetization in μB per cell: 4.220
Energy above the most stable polymorph in this dataset in meV/atom: 0
N(E_F) in states/eV per atom: 0.132

Geometry as POSCAR:
```
Na2AsO4
1.0
-7.8144 5.4455 0.4742
-4.5086 -6.4059 -0.7345
-0.1070 -0.8348 7.8227
Na O As
8 16 4
Cartesian
-5.2935 0.2688 5.5728 Na
-0.9740 -1.5279 1.4957 Na
-7.1365 -2.0640 1.9897 Na
-1.0285 -2.0012 6.0311 Na
-5.2410 0.6303 2.2855 Na
-7.1890 -2.4255 5.2769 Na
-3.5870 -5.2395 1.0571 Na
-3.6416 -5.7128 5.5925 Na
-6.5229 -3.7515 3.4772 O
-5.0385 -1.4229 1.1982 O
-11.2538 -2.3210 4.9794 O
-8.1223 2.5916 0.1708 O
-5.1094 -1.9626 6.2257 O
-9.8401 -0.5315 7.7273 O
-7.3911 -0.3718 6.3642 O
-4.3077 -4.3869 7.3922 O
-5.9071 1.9564 4.0846 O
-1.1765 0.5253 2.5830 O
-6.7085 4.3811 2.9187 O
-7.3209 0.1668 1.3367 O
-5.7211 -6.1758 4.6437 O
-2.5899 -1.2636 -0.1655 O
-3.6251 0.3660 3.9467 O
-8.8049 -2.1613 3.6163 O
-2.0071 0.9440 4.0299 As
-5.9143 3.6667 4.2670 As
-8.1151 0.8812 -0.0116 As
-4.2079 -1.8416 -0.2487 As
```

No. 2
## Na7As11O31 (PBE-GGA)

Data for a relaxed Na7As11O31 crystal.

Total DFT energy (no corrections) in eV per cell: -846.1
Density in g/cm³: 3.98
Magnetization in μB per cell: 0.000
N(E_F) in states/eV per atom: 0.000

Geometry as POSCAR:
```
Na7As11O31
1.0
11.3689 -0.0017 -0.0121
5.6655 9.8832 -0.0006
0.0447 0.0867 16.4880
O Na As
93 21 33
Cartesian
5.6784 1.8659 7.2580 O
11.3986 8.1558 14.6587 O
7.0406 4.1798 7.3347 O
15.4054 8.9746 1.6552 O
14.5027 6.4195 12.5743 O
11.4428 3.0838 14.7878 O
7.0388 4.0952 1.8303 O
12.7353 9.3881 1.5859 O
7.4644 5.7980 14.9271 O
8.3186 8.3658 3.7444 O
9.6027 1.1000 9.3513 O
15.4991 8.9439 12.6579 O
14.4602 8.3442 14.7475 O
5.6741 3.3163 4.3006 O
9.9569 9.3821 1.5821 O
11.3986 6.6101 12.1657 O
7.3379 5.9197 3.8188 O
11.3615 2.8906 3.3873 O
9.9541 9.4573 7.1057 O
9.6286 1.0039 3.8682 O
8.6885 3.6360 9.4350 O
14.4141 6.5419 7.1425 O
8.8461 1.6185 7.1272 O
4.3176 4.1731 7.3425 O
5.7274 7.8569 14.8481 O
4.4619 0.5593 14.9368 O
9.8242 0.9419 14.8280 O
9.7956 4.0092 12.6520 O
11.3581 8.2535 9.1277 O
3.9998 5.9201 3.8287 O
14.4023 6.4542 1.6277 O
1.7268 0.9977 3.8659 O
5.6986 3.3533 9.7973 O
7.3460 5.9928 9.3571 O
12.7877 5.8157 14.6242 O
13.0811 3.9961 1.7074 O
2.6682 3.6388 9.4487 O
4.3105 4.0920 1.8348 O
5.6696 8.0017 3.8019 O
11.3433 6.5855 1.1703 O
8.6857 3.5614 3.9495 O
11.3615 2.9431 8.8478 O
2.7216 3.4786 14.7635 O
2.6470 1.4679 12.6537 O
11.4488 1.8962 12.6743 O
8.3289 8.4477 9.3103 O
1.7428 1.0928 9.3871 O
14.3749 8.4499 9.2553 O
15.4154 9.0538 7.1677 O
8.8082 1.5375 12.7131 O
7.0538 0.5936 3.7568 O
2.5247 1.6106 7.1620 O
5.6635 6.8496 1.6847 O
5.7470 1.7432 12.8340 O
9.6382 4.0026 1.7174 O
12.7337 9.4616 7.0787 O
1.7946 1.0281 14.8685 O
7.2919 9.0512 7.2100 O
5.6633 8.1039 9.3512 O
13.1103 4.0110 12.5923 O
4.4262 4.0720 12.7489 O
7.1693 0.5413 14.8321 O
4.3195 0.6687 9.2746 O
12.6919 5.8814 9.1718 O
8.3274 6.3890 12.6948 O
4.3045 0.5931 3.7533 O
7.2938 8.9687 1.6430 O
13.0872 4.0748 7.2006 O
4.0874 5.8561 14.7459 O
10.0203 5.8219 3.6776 O
2.5165 1.5452 1.6554 O
12.6813 5.8176 3.6696 O
11.3489 8.1896 3.6248 O
10.0390 9.4230 12.6912 O
14.3780 8.3622 3.7463 O
5.6757 6.9310 7.2306 O
10.0324 5.8838 9.1858 O
5.7897 6.9348 12.6271 O
11.3542 6.6491 6.6760 O
8.3039 6.5558 7.1719 O
5.7316 3.3345 15.2921 O
8.3059 6.4618 1.6313 O
7.1086 4.0965 12.8264 O
3.9989 5.9985 9.3460 O
8.8405 1.5438 1.6537 O
7.0571 0.6697 9.2492 O
12.8280 9.3392 12.6323 O
5.6775 1.7944 1.7621 O
8.2007 8.4670 14.3263 O
10.0785 5.8414 14.6742 O
8.8328 3.4548 14.8393 O
2.6605 3.5602 3.9553 O
9.6375 4.0925 7.2028 O
11.4186 4.4937 10.9866 Na
5.6564 9.6729 16.3598 Na
5.6732 5.4925 5.4483 Na
7.4869 2.2110 10.9915 Na
11.3595 4.6124 5.5002 Na
9.5286 7.7321 5.5414 Na
5.6370 5.4453 16.4736 Na
11.1380 0.1310 10.8684 Na
3.9613 2.2622 10.9702 Na
7.3990 2.1871 5.4567 Na
9.6152 7.6500 11.0299 Na
13.1681 7.7252 5.5329 Na
13.2350 7.6567 11.0290 Na
5.6651 5.4415 10.9104 Na
7.5343 2.2589 16.4062 Na
11.3518 4.5118 0.0289 Na
3.9490 2.1843 5.4667 Na
9.5700 7.7492 16.4717 Na
13.1588 7.6687 0.0336 Na
3.9190 2.3692 16.4630 Na
5.6726 9.6239 5.4192 Na
10.0297 2.4421 13.7573 As
8.6533 4.8843 13.7403 As
5.6827 0.1133 8.1789 As
15.6432 7.5397 8.2460 As
11.4360 6.5954 13.8379 As
14.2145 5.0419 2.7401 As
7.0672 7.4524 2.7167 As
5.6811 0.0491 2.6666 As
14.2298 5.1183 8.2356 As
7.0667 7.1481 13.8421 As
3.0846 0.2392 13.8592 As
7.0660 7.5399 8.2809 As
9.6583 2.6193 8.3491 As
9.6638 2.5322 2.8815 As
8.4911 5.1261 8.2523 As
5.6837 3.3994 8.1272 As
5.7549 3.3138 13.6216 As
1.4536 2.5276 13.7431 As
11.5060 9.8754 13.7361 As
11.3597 6.6887 8.3487 As
8.5180 9.8520 2.7134 As
1.6859 2.5283 2.8861 As
8.5063 0.0451 8.2105 As
4.2647 7.4268 13.7106 As
11.3485 6.6281 2.8423 As
1.6986 2.6075 8.3759 As
2.8574 0.0453 8.2594 As
14.3098 9.8980 13.7383 As
8.4930 5.0425 2.7406 As
5.6782 3.3288 2.6299 As
15.6337 7.4560 2.7150 As
14.1761 9.8528 2.7197 As
2.9187 4.9439 13.6719 As
```

No. 3
## Na2AsO (PBE-GGA)

Data for a relaxed Na2AsO crystal.

Density in g/cm³: 2.60
Magnetization in μB per cell: 0.000
Energy above the most stable polymorph in this dataset in meV/atom: 0
N(E_F) in states/eV per atom: 0.514

Geometry as POSCAR:
```
Na2AsO
1.0
-7.9115 3.6257 2.7511
-2.9081 0.2167 -8.6488
-6.2154 -0.0055 -2.7263
Na O As
4 2 2
Cartesian
-5.8056 1.2496 -5.2406 Na
-9.2502 1.4763 -5.8363 Na
-13.5975 3.3184 -5.6253 Na
-5.4168 1.6294 -0.5458 Na
-5.4098 1.9212 -2.9489 O
-7.2667 1.0662 -7.1620 O
-9.7684 2.7707 -1.4620 As
0.0000 0.0000 0.0000 As
```

No. 4
## NaAsO3 (PBE-GGA)

Data for a relaxed NaAsO3 crystal.

Total DFT energy (no corrections) in eV per cell: -17.7
Density in g/cm³: 3.79
Magnetization in μB per cell: 2.026
N(E_F) in states/eV per atom: 0.844

Geometry as POSCAR:
```
NaAsO3
1.0
3.9974 0.0000 0.0000
0.0000 3.9974 0.0000
0.0000 0.0000 3.9974
O Na As
3 1 1
Cartesian
0.0000 1.9987 0.0000 O
1.9987 0.0000 0.0000 O
0.0000 0.0000 1.9987 O
0.0000 0.0000 0.0000 Na
1.9987 1.9987 1.9987 As
```

No. 5
## Na2AsO (PBE-GGA)

Data for a relaxed Na2AsO crystal.

Density in g/cm³: 3.09
Magnetization in μB per cell: 1.633
Energy above the most stable polymorph in this dataset in meV/atom: 560
N(E_F) in states/eV per atom: 1.584

Geometry as POSCAR:
```
Na2AsO
1.0
0.0000 3.3249 3.3249
3.3249 0.0000 3.3249
3.3249 3.3249 0.0000
Na As O
2 1 1
Cartesian
4.9873 4.9873 4.9873 Na
1.6624 1.6624 1.6624 Na
3.3249 3.3249 3.3249 As
0.0000 0.0000 0.0000 O
```

No. 6
## Na7AsO2 (PBE-GGA)

Data for a relaxed Na7AsO2 crystal.

Total DFT energy (no corrections) in eV per cell: -32.0
Density in g/cm³: 2.21
Magnetization in μB per cell: 0.000
N(E_F) in states/eV per atom: 0.127

Geometry as POSCAR:
```
Na7AsO2
1.0
4.5821 0.0000 0.0000
0.0000 6.9786 0.0632
0.0000 -3.0920 6.2565
Na As O
7 1 2
Cartesian
2.2911 1.9433 3.1598 Na
2.2911 1.7780 6.0263 Na
2.2911 4.5760 4.3056 Na
2.2911 2.1085 0.2933 Na
0.0000 -0.2005 4.4783 Na
0.0000 4.0870 1.8414 Na
2.2911 -0.6895 2.0141 Na
0.0000 0.0000 0.0000 As
2.2911 3.8650 1.9780 O
2.2911 0.0216 4.3417 O
```

No. 7
## NaAsO3 (PBE-GGA)

Data for a relaxed NaAsO3 crystal.

Total DFT energy (no corrections) in eV per cell: -55.3
Density in g/cm³: 3.46
Magnetization in μB per cell: 0.000
N(E_F) in states/eV per atom: 0.000

Geometry as POSCAR:
```
NaAsO3
1.0
3.6823 0.0030 0.0028
0.1005 6.2925 0.0837
0.1009 1.6644 6.0682
O Na As
6 2 2
Cartesian
3.6821 5.0652 6.0156 O
3.6082 0.3857 0.3896 O
2.0296 6.6115 4.4367 O
1.9286 2.2616 1.8408 O
2.0567 3.5959 4.8791 O
3.7096 4.7360 2.9862 O
0.3438 2.0268 3.6664 Na
1.6068 4.9667 1.1568 Na
2.8692 5.1694 4.3630 As
2.7683 1.8277 0.4635 As
```

No. 8
## NaAs2O6 (PBE-GGA)

Data for a relaxed NaAs2O6 crystal.

Total DFT energy (no corrections) in eV per cell: -100.4
Density in g/cm³: 3.39
Magnetization in μB per cell: 2.018
N(E_F) in states/eV per atom: 0.079

Geometry as POSCAR:
```
NaAs2O6
1.0
4.8914 0.0000 -0.9610
0.0000 5.1559 0.0000
0.1687 0.0000 10.4241
O As Na
12 4 2
Cartesian
1.4677 5.1461 2.0331 O
3.7869 3.8458 3.0893 O
3.6364 3.8719 0.6812 O
1.2732 1.3102 6.3738 O
3.6346 1.2678 0.6812 O
1.4255 3.8881 8.7819 O
3.5924 0.0099 7.4300 O
1.2750 3.8620 6.3737 O
1.0623 2.5681 2.6985 O
3.7850 1.2940 3.0893 O
3.9977 2.5878 6.7646 O
1.4237 1.2840 8.7819 O
4.2288 2.5695 1.8283 As
1.8674 0.0084 7.5208 As
3.1927 5.1475 1.9422 As
0.8313 2.5864 7.6348 As
0.0000 0.0000 0.0000 Na
2.5300 2.5780 4.7315 Na
```

Which value of N(E_F) does entry 1 give?
0.132 states/eV per atom